1.
VASP calculation (PBE-GGA) on crystalline LiNdZnIn at its relaxed geometry.

Unit cell a=4.9167 b=4.9167 c=4.9167 alpha=60.00 beta=60.00 gamma=60.00
Atoms (fractional coordinates):
Nd (0.2500, 0.2500, 0.2500)
Zn (0.5000, 0.5000, 0.5000)
In (0.7500, 0.7500, 0.7500)
Li (0.0000, 0.0000, 0.0000)

Computed properties:
density of states at the Fermi level	1.297	states/eV/cell
total moment	0.00	μB/cell
energy relative to the elements	-362	meV per atom



2.
VASP calculation (PBE-GGA) on crystalline LiNdZrIn at its relaxed geometry.

Unit cell a=5.1724 b=5.1724 c=5.1724 alpha=60.00 beta=60.00 gamma=60.00
Atoms (fractional coordinates):
Li (0.0000, 0.0000, 0.0000)
Nd (0.7500, 0.7500, 0.7500)
In (0.5000, 0.5000, 0.5000)
Zr (0.2500, 0.2500, 0.2500)

Computed properties:
density of states at the Fermi level	3.779	states/eV/cell
total moment	0.00	μB/cell
energy relative to the elements	-89	meV per atom



3.
VASP calculation (PBE-GGA) on crystalline Li2InNi at its relaxed geometry.

Unit cell a=3.8374 b=3.6826 c=4.3489 alpha=90.00 beta=90.00 gamma=90.00
Atoms (fractional coordinates):
Ni (0.5000, 0.0000, 0.5000)
In (0.0000, 0.5000, 0.5000)
Li (0.5000, 0.5000, 0.0000)
Li (0.0000, 0.0000, 0.0000)

Computed properties:
density of states at the Fermi level	1.808	states/eV/cell
total moment	0.00	μB/cell
energy relative to the elements	-143	meV per atom



4.
VASP calculation (PBE-GGA) on crystalline Li2In3Ni2 at its relaxed geometry.

Unit cell a=4.4100 b=4.4103 c=8.1837 alpha=90.01 beta=105.71 gamma=120.00
Atoms (fractional coordinates):
In (0.4883, 0.7442, 0.2315)
In (0.5117, 0.2558, 0.7685)
In (0.0000, 0.0000, 0.0000)
Ni (0.7487, 0.3744, 0.1223)
Ni (0.2513, 0.6256, 0.8777)
Li (0.2592, 0.1297, 0.3879)
Li (0.7408, 0.8703, 0.6121)

Computed properties:
density of states at the Fermi level	3.196	states/eV/cell
total moment	0.00	μB/cell
energy relative to the elements	-106	meV per atom



5.
VASP calculation (PBE-GGA) on crystalline Li2InNi at its relaxed geometry.

Unit cell a=2.8822 b=4.0143 c=5.3701 alpha=90.00 beta=90.00 gamma=90.00
Atoms (fractional coordinates):
Ni (0.5000, 0.5000, 0.2500)
Li (0.0000, 0.0000, 0.4725)
Li (0.0000, 0.0000, 0.0275)
In (0.5000, 0.5000, 0.7500)

Computed properties:
density of states at the Fermi level	1.612	states/eV/cell
total moment	0.00	μB/cell
energy relative to the elements	-56	meV per atom



6.
VASP calculation (PBE-GGA) on crystalline Li3In3Ni2 at its relaxed geometry.

Unit cell a=4.0461 b=4.2514 c=8.4199 alpha=75.45 beta=76.27 gamma=90.02
Atoms (fractional coordinates):
In (0.3521, 0.8518, 0.2965)
In (0.5000, 0.5000, 0.0000)
In (0.6479, 0.1482, 0.7035)
Li (0.1444, 0.6439, 0.7127)
Li (0.8556, 0.3561, 0.2873)
Li (0.0000, 0.0000, 0.0000)
Ni (0.7520, 0.7501, 0.4991)
Ni (0.2480, 0.2499, 0.5009)

Computed properties:
density of states at the Fermi level	3.465	states/eV/cell
total moment	0.00	μB/cell
energy relative to the elements	-182	meV per atom
relative energy among the computed polymorphs	54	meV per atom



7.
VASP calculation (PBE-GGA) on crystalline Li2In2Ni15 at its relaxed geometry.

Unit cell a=6.2304 b=6.2304 c=6.2304 alpha=82.06 beta=82.06 gamma=82.06
Each line ends with the local moment (μB).
Atoms (fractional coordinates):
Ni (0.5000, 0.0000, 0.0000)  0.45
Ni (0.8381, 0.3438, 0.3438)  0.43
Ni (0.0000, 0.0000, 0.5000)  0.45
Ni (0.0000, 0.5000, 0.0000)  0.45
Ni (0.3438, 0.3438, 0.8381)  0.43
Ni (0.6562, 0.1619, 0.6562)  0.43
Ni (0.3126, 0.0000, 0.6874)  0.39
Ni (0.0000, 0.3126, 0.6874)  0.39
Ni (0.3438, 0.8381, 0.3438)  0.43
Ni (0.3126, 0.6874, 0.0000)  0.39
Ni (0.0000, 0.6874, 0.3126)  0.39
Ni (0.6874, 0.0000, 0.3126)  0.39
Ni (0.1619, 0.6562, 0.6562)  0.43
Ni (0.6562, 0.6562, 0.1619)  0.43
Ni (0.6874, 0.3126, 0.0000)  0.39
Li (0.9036, 0.9036, 0.9036)  -0.01
Li (0.0964, 0.0964, 0.0964)  -0.01
In (0.3432, 0.3432, 0.3432)  -0.01
In (0.6568, 0.6568, 0.6568)  -0.01

Computed properties:
density of states at the Fermi level	25.120	states/eV/cell
total moment	5.88	μB/cell
energy relative to the elements	9	meV per atom



8.
VASP calculation (PBE-GGA) on crystalline LiIn2Ni2 at its relaxed geometry.

Unit cell a=3.6247 b=3.6247 c=7.2037 alpha=75.43 beta=75.43 gamma=90.00
Atoms (fractional coordinates):
Ni (0.7500, 0.2500, 0.5000)
Ni (0.2500, 0.7500, 0.5000)
In (0.6114, 0.6114, 0.7771)
In (0.3886, 0.3886, 0.2229)
Li (0.0000, 0.0000, 0.0000)

Computed properties:
density of states at the Fermi level	3.074	states/eV/cell
total moment	0.00	μB/cell
energy relative to the elements	-4	meV per atom
relative energy among the computed polymorphs	169	meV per atom



9.
VASP calculation (PBE-GGA) on crystalline Li2InNi at its relaxed geometry.

Unit cell a=3.2313 b=3.2313 c=6.0555 alpha=90.00 beta=90.00 gamma=90.00
Atoms (fractional coordinates):
Li (0.5000, 0.5000, 0.2706)
Li (0.0000, 0.0000, 0.0142)
Ni (0.0000, 0.0000, 0.4912)
In (0.5000, 0.5000, 0.7240)

Computed properties:
density of states at the Fermi level	1.495	states/eV/cell
total moment	0.00	μB/cell
energy relative to the elements	-93	meV per atom



10.
VASP calculation (PBE-GGA) on crystalline Li2InNi at its relaxed geometry.

Unit cell a=3.2717 b=3.2717 c=5.6360 alpha=90.00 beta=90.00 gamma=90.00
Each line ends with the local moment (μB).
Atoms (fractional coordinates):
In (0.5000, 0.5000, 0.7500)  0.00
Ni (0.5000, 0.5000, 0.2500)  0.22
Li (0.0000, 0.0000, 0.0360)  -0.01
Li (0.0000, 0.0000, 0.4640)  -0.01

Computed properties:
density of states at the Fermi level	1.964	states/eV/cell
total moment	0.19	μB/cell
energy relative to the elements	-54	meV per atom



11.
VASP calculation (PBE-GGA) on crystalline Li3In3Ni2 at its relaxed geometry.

Unit cell a=4.4752 b=4.4752 c=7.7839 alpha=73.29 beta=73.29 gamma=60.00
Atoms (fractional coordinates):
In (0.1259, 0.1259, 0.6223)
In (0.8804, 0.8804, 0.3589)
In (0.3704, 0.3704, 0.8887)
Ni (0.0027, 0.0027, 0.9918)
Ni (0.4974, 0.4974, 0.5077)
Li (0.7484, 0.7484, 0.7548)
Li (0.6238, 0.6238, 0.1285)
Li (0.2509, 0.2509, 0.2474)

Computed properties:
density of states at the Fermi level	2.948	states/eV/cell
total moment	0.00	μB/cell
energy relative to the elements	-236	meV per atom
relative energy among the computed polymorphs	0	meV per atom



12.
VASP calculation (PBE-GGA) on crystalline LiIn6Ni5 at its relaxed geometry.

Unit cell a=4.5050 b=7.1363 c=6.2920 alpha=90.00 beta=90.00 gamma=71.60
Atoms (fractional coordinates):
Ni (0.6611, 0.6778, 0.0000)
Ni (0.3389, 0.3222, 0.0000)
Ni (0.0000, 0.0000, 0.5000)
Ni (0.6634, 0.6732, 0.5000)
Ni (0.3366, 0.3268, 0.5000)
In (0.1701, 0.6598, 0.7476)
In (0.8299, 0.3402, 0.2524)
In (0.5000, 0.0000, 0.2551)
In (0.5000, 0.0000, 0.7449)
In (0.1701, 0.6598, 0.2524)
In (0.8299, 0.3402, 0.7476)
Li (0.0000, 0.0000, 0.0000)

Computed properties:
density of states at the Fermi level	5.193	states/eV/cell
total moment	0.00	μB/cell
energy relative to the elements	-121	meV per atom



13.
VASP calculation (PBE-GGA) on crystalline Li2In2Ni at its relaxed geometry.

Unit cell a=6.7534 b=6.7534 c=4.4022 alpha=90.00 beta=90.00 gamma=90.00
Atoms (fractional coordinates):
Li (0.6611, 0.8389, 0.5000)
Li (0.3389, 0.1611, 0.5000)
Li (0.8389, 0.3389, 0.5000)
Li (0.1611, 0.6611, 0.5000)
In (0.6567, 0.1567, 0.0000)
In (0.3433, 0.8433, 0.0000)
In (0.8433, 0.6567, 0.0000)
In (0.1567, 0.3433, 0.0000)
Ni (0.5000, 0.5000, 0.0000)
Ni (0.0000, 0.0000, 0.0000)

Computed properties:
density of states at the Fermi level	4.555	states/eV/cell
total moment	0.00	μB/cell
energy relative to the elements	-31	meV per atom



14.
VASP calculation (PBE-GGA) on crystalline Li4In5Ni at its relaxed geometry.

Unit cell a=3.2101 b=3.2101 c=18.6227 alpha=90.00 beta=90.00 gamma=90.00
Atoms (fractional coordinates):
In (0.5000, 0.5000, 0.0834)
In (0.5000, 0.5000, 0.9166)
In (0.5000, 0.5000, 0.5000)
In (0.5000, 0.5000, 0.7126)
In (0.5000, 0.5000, 0.2874)
Ni (0.0000, 0.0000, 0.0000)
Li (0.0000, 0.0000, 0.1844)
Li (0.0000, 0.0000, 0.3928)
Li (0.0000, 0.0000, 0.8156)
Li (0.0000, 0.0000, 0.6072)

Computed properties:
density of states at the Fermi level	4.380	states/eV/cell
total moment	0.00	μB/cell
energy relative to the elements	-226	meV per atom



15.
VASP calculation (PBE-GGA) on crystalline Li2In3Ni at its relaxed geometry.

Unit cell a=5.1958 b=6.3138 c=7.6505 alpha=89.73 beta=69.56 gamma=89.30
Atoms (fractional coordinates):
In (0.1587, 0.9972, 0.6821)
In (0.6279, 0.2235, 0.0038)
In (0.1225, 0.5003, 0.7506)
In (0.8775, 0.4997, 0.2494)
In (0.8413, 0.0028, 0.3179)
In (0.3721, 0.7765, 0.9962)
Li (0.2581, 0.2749, 0.3803)
Li (0.3644, 0.7309, 0.3712)
Li (0.7419, 0.7251, 0.6197)
Li (0.6356, 0.2691, 0.6288)
Ni (0.8584, 0.8072, 0.0030)
Ni (0.1416, 0.1928, 0.9970)

Computed properties:
density of states at the Fermi level	3.206	states/eV/cell
total moment	0.00	μB/cell
energy relative to the elements	-157	meV per atom



16.
VASP calculation (PBE-GGA) on crystalline Li4InNi at its relaxed geometry.

Unit cell a=4.4943 b=5.2926 c=8.2085 alpha=71.29 beta=90.00 gamma=90.02
Atoms (fractional coordinates):
Li (0.7500, 0.0365, 0.9158)
Li (0.7499, 0.1934, 0.5821)
Li (0.2499, 0.2751, 0.4176)
Li (0.7500, 0.5475, 0.9159)
Li (0.2500, 0.9635, 0.0842)
Li (0.2501, 0.8066, 0.4179)
Li (0.7501, 0.7249, 0.5824)
Li (0.2500, 0.4525, 0.0841)
Ni (0.2500, 0.8766, 0.7467)
Ni (0.7500, 0.1234, 0.2533)
In (0.7500, 0.6242, 0.2517)
In (0.2500, 0.3758, 0.7483)

Computed properties:
density of states at the Fermi level	7.086	states/eV/cell
total moment	0.00	μB/cell
energy relative to the elements	-117	meV per atom
relative energy among the computed polymorphs	0	meV per atom



17.
VASP calculation (PBE-GGA) on crystalline LiIn3Ni at its relaxed geometry.

Unit cell a=4.9567 b=4.9567 c=4.9567 alpha=90.00 beta=90.00 gamma=90.00
Atoms (fractional coordinates):
In (0.5000, 0.0000, 0.0000)
In (0.0000, 0.0000, 0.5000)
In (0.0000, 0.5000, 0.0000)
Ni (0.0000, 0.0000, 0.0000)
Li (0.5000, 0.5000, 0.5000)

Computed properties:
density of states at the Fermi level	2.207	states/eV/cell
total moment	0.00	μB/cell
energy relative to the elements	-52	meV per atom
relative energy among the computed polymorphs	77	meV per atom



18.
VASP calculation (PBE-GGA) on crystalline LiIn2Ni2 at its relaxed geometry.

Unit cell a=4.8216 b=4.8216 c=5.2415 alpha=62.62 beta=62.62 gamma=90.00
Atoms (fractional coordinates):
Li (0.0000, 0.0000, 0.0000)
Ni (0.3589, 0.3589, 0.2822)
Ni (0.6411, 0.6411, 0.7178)
In (0.7500, 0.2500, 0.5000)
In (0.2500, 0.7500, 0.5000)

Computed properties:
density of states at the Fermi level	2.177	states/eV/cell
total moment	0.00	μB/cell
energy relative to the elements	29	meV per atom
relative energy among the computed polymorphs	201	meV per atom



19.
VASP calculation (PBE-GGA) on crystalline Li3InNi at its relaxed geometry.

Unit cell a=4.8931 b=4.8931 c=4.8931 alpha=90.00 beta=90.00 gamma=90.00
Each line ends with the local moment (μB).
Atoms (fractional coordinates):
Li (0.0000, 0.0000, 0.5000)  -0.01
Li (0.0000, 0.5000, 0.0000)  0.00
Li (0.5000, 0.0000, 0.0000)  0.00
In (0.0000, 0.0000, 0.0000)  -0.03
Ni (0.5000, 0.5000, 0.5000)  0.41

Computed properties:
density of states at the Fermi level	4.774	states/eV/cell
total moment	0.26	μB/cell
energy relative to the elements	738	meV per atom
relative energy among the computed polymorphs	537	meV per atom



20.
VASP calculation (PBE-GGA) on crystalline Li2InNi at its relaxed geometry.

Unit cell a=4.5896 b=2.8803 c=4.7294 alpha=83.40 beta=90.00 gamma=90.00
Atoms (fractional coordinates):
Li (0.0000, 0.0336, 0.0215)
Li (0.0000, 0.4664, 0.4785)
In (0.5000, 0.7500, 0.7500)
Ni (0.5000, 0.2500, 0.2500)

Computed properties:
density of states at the Fermi level	1.865	states/eV/cell
total moment	0.00	μB/cell
energy relative to the elements	-86	meV per atom



21.
VASP calculation (PBE-GGA) on crystalline Li4InNi at its relaxed geometry.

Unit cell a=4.9768 b=4.9768 c=4.9768 alpha=60.00 beta=60.00 gamma=60.00
Atoms (fractional coordinates):
Ni (0.7500, 0.7500, 0.7500)
Li (0.3762, 0.8714, 0.3762)
Li (0.3762, 0.3762, 0.8714)
Li (0.3762, 0.3762, 0.3762)
Li (0.8714, 0.3762, 0.3762)
In (0.0000, 0.0000, 0.0000)

Computed properties:
density of states at the Fermi level	2.153	states/eV/cell
total moment	0.00	μB/cell
energy relative to the elements	29	meV per atom
relative energy among the computed polymorphs	146	meV per atom



22.
VASP calculation (PBE-GGA) on crystalline Li2In2Ni at its relaxed geometry.

Unit cell a=4.4626 b=4.4489 c=5.5152 alpha=89.66 beta=65.14 gamma=60.49
Atoms (fractional coordinates):
In (0.7874, 0.1079, 0.8208)
In (0.2126, 0.8921, 0.1792)
Li (0.6204, 0.6901, 0.5688)
Li (0.3796, 0.3099, 0.4312)
Ni (0.0000, 0.5000, 0.0000)

Computed properties:
density of states at the Fermi level	2.127	states/eV/cell
total moment	0.00	μB/cell
energy relative to the elements	-246	meV per atom



23.
VASP calculation (PBE-GGA) on crystalline Li2InNi at its relaxed geometry.

Unit cell a=5.2535 b=5.2535 c=4.2667 alpha=65.70 beta=65.70 gamma=35.42
Atoms (fractional coordinates):
Li (0.0209, 0.0209, 0.9796)
Li (0.4791, 0.4791, 0.5204)
In (0.2500, 0.2500, 0.2500)
Ni (0.7500, 0.7500, 0.7500)

Computed properties:
density of states at the Fermi level	1.854	states/eV/cell
total moment	0.00	μB/cell
energy relative to the elements	-157	meV per atom



24.
VASP calculation (PBE-GGA) on crystalline Li3InNi at its relaxed geometry.

Unit cell a=4.5279 b=4.5279 c=4.5279 alpha=90.00 beta=90.00 gamma=90.00
Atoms (fractional coordinates):
Li (0.0000, 0.0000, 0.5000)
Li (0.0000, 0.5000, 0.0000)
Li (0.5000, 0.0000, 0.0000)
Ni (0.0000, 0.0000, 0.0000)
In (0.5000, 0.5000, 0.5000)

Computed properties:
density of states at the Fermi level	2.664	states/eV/cell
total moment	0.00	μB/cell
energy relative to the elements	201	meV per atom
relative energy among the computed polymorphs	0	meV per atom



25.
VASP calculation (PBE-GGA) on crystalline Li2InNi at its relaxed geometry.

Unit cell a=5.3713 b=5.3713 c=2.8751 alpha=76.88 beta=76.88 gamma=121.41
Atoms (fractional coordinates):
Li (0.5000, 0.5000, 0.0000)
Li (0.0000, 0.0000, 0.0000)
Ni (0.5000, 0.0000, 0.5000)
In (0.0000, 0.5000, 0.5000)

Computed properties:
density of states at the Fermi level	1.520	states/eV/cell
total moment	0.00	μB/cell
energy relative to the elements	-74	meV per atom



26.
VASP calculation (PBE-GGA) on crystalline LiInNi4 at its relaxed geometry.

Unit cell a=4.8113 b=4.8113 c=4.8113 alpha=60.00 beta=60.00 gamma=60.00
Each line ends with the local moment (μB).
Atoms (fractional coordinates):
Li (0.0000, 0.0000, 0.0000)  -0.01
In (0.2500, 0.2500, 0.2500)  0.00
Ni (0.1243, 0.6252, 0.6252)  0.29
Ni (0.6252, 0.6252, 0.6252)  0.29
Ni (0.6252, 0.1243, 0.6252)  0.29
Ni (0.6252, 0.6252, 0.1243)  0.29

Computed properties:
density of states at the Fermi level	5.944	states/eV/cell
total moment	1.15	μB/cell
energy relative to the elements	-110	meV per atom